*one*
Density functional theory data (PBEsol) for an optimized crystal structure of KFeCl.

a = 3.220 Å, b = 3.220 Å, c = 6.714 Å
α = 101.13°, β = 101.13°, γ = 101.23°
Site moments in Bohr magnetons follow the coordinates.
Fractional coordinates of all 3 atoms:
K: 0.653 0.653 0.306  -0.02
Fe: 0.368 0.368 0.736  2.99
Cl: 0.979 0.979 0.959  0.06

D(E_F), states/eV/f.u.: 3.3
Symmetry: Fmm2 (42)
Theoretical density, Mg/m³: 3.3

*two*
Density functional theory data (PBEsol) for an optimized crystal structure of KFeCl.

a = 3.389 Å, b = 3.389 Å, c = 6.658 Å
α = 90.00°, β = 90.00°, γ = 120.00°
Site moments in Bohr magnetons follow the coordinates.
Fractional coordinates of all 3 atoms:
K: 0.333 0.667 0.308  -0.02
Fe: 0.667 0.333 0.734  3.02
Cl: 0.000 0.000 0.958  0.07

D(E_F), states/eV/f.u.: 3.5
Symmetry: P3m1 (156)
Theoretical density, Mg/m³: 3.3

Most stable one: *two*, least stable one: *one*.

*one*
Density functional theory data (PBEsol) for an optimized crystal structure of KFe2Cl.

a = 2.919 Å, b = 5.337 Å, c = 5.919 Å
α = 110.16°, β = 104.27°, γ = 90.00°
Site moments in Bohr magnetons follow the coordinates.
Fractional coordinates of all 4 atoms:
K: 0.000 0.500 0.000  -0.01
Fe: 0.202 0.096 0.403  2.78
Fe: 0.798 0.904 0.597  2.78
Cl: 0.500 0.000 0.000  0.04

D(E_F), states/eV/f.u.: 2.6
Symmetry: C2/m (12)
Theoretical density, Mg/m³: 3.7

*two*
Density functional theory data (PBEsol) for an optimized crystal structure of KFe2Cl.

a = 3.092 Å, b = 5.793 Å, c = 5.793 Å
α = 63.79°, β = 74.52°, γ = 74.52°
Site moments in Bohr magnetons follow the coordinates.
Fractional coordinates of all 4 atoms:
K: 0.522 0.478 0.478  -0.01
Fe: 0.000 0.000 0.000  1.47
Fe: 0.658 0.842 0.842  2.45
Cl: 0.321 0.179 0.179  -0.01

D(E_F), states/eV/f.u.: 0.8
Symmetry: Imm2 (44)
Theoretical density, Mg/m³: 3.5

*three*
Density functional theory data (PBEsol) for an optimized crystal structure of KFe2Cl.

a = 4.726 Å, b = 4.726 Å, c = 4.726 Å
α = 60.00°, β = 60.00°, γ = 60.00°
Site moments in Bohr magnetons follow the coordinates.
Fractional coordinates of all 4 atoms:
K: 0.500 0.500 0.500  -0.02
Fe: 0.250 0.250 0.250  2.81
Fe: 0.750 0.750 0.750  2.81
Cl: 0.000 0.000 0.000  0.06

D(E_F), states/eV/f.u.: 7.5
Symmetry: Fm-3m (225)
Theoretical density, Mg/m³: 4.1

*four*
Density functional theory data (PBEsol) for an optimized crystal structure of KFe2Cl.

a = 3.092 Å, b = 3.262 Å, c = 7.674 Å
α = 102.26°, β = 90.00°, γ = 90.00°
Site moments in Bohr magnetons follow the coordinates.
Fractional coordinates of all 4 atoms:
K: 0.000 0.448 0.520  -0.01
Fe: 0.000 0.205 0.036  2.75
Fe: 0.500 0.769 0.164  2.78
Cl: 0.500 0.078 0.781  0.04

D(E_F), states/eV/f.u.: 2.4
Symmetry: Amm2 (38)
Theoretical density, Mg/m³: 4.1

Most stable one: *four*, least stable one: *three*.

*one*
Density functional theory data (PBEsol) for an optimized crystal structure of Li2FeCl.

a = 3.009 Å, b = 3.009 Å, c = 7.968 Å
α = 79.12°, β = 79.12°, γ = 60.00°
Site moments in Bohr magnetons follow the coordinates.
Fractional coordinates of all 4 atoms:
Cl: 0.500 0.500 0.500  -0.01
Fe: 0.000 0.000 0.000  2.90
Li: 0.235 0.235 0.295  -0.01
Li: 0.765 0.765 0.705  -0.01

D(E_F), states/eV/f.u.: 3.0
Symmetry: R-3m (166)
Theoretical density, Mg/m³: 2.9

*two*
Density functional theory data (PBEsol) for an optimized crystal structure of Li2FeCl.

a = 5.638 Å, b = 5.638 Å, c = 5.638 Å
α = 107.61°, β = 107.61°, γ = 113.26°
Site moments in Bohr magnetons follow the coordinates.
Fractional coordinates of all 8 atoms:
Li: 0.830 0.875 0.455  -0.02
Li: 0.420 0.375 0.545  -0.02
Li: 0.125 0.580 0.955  -0.02
Li: 0.625 0.170 0.045  -0.02
Fe: 0.000 0.000 0.000  3.04
Fe: 0.250 0.750 0.500  3.04
Cl: 0.500 0.500 0.000  0.04
Cl: 0.750 0.250 0.500  0.04

D(E_F), states/eV/f.u.: 3.0
Symmetry: I-42d (122)
Theoretical density, Mg/m³: 2.5

*three*
Density functional theory data (PBEsol) for an optimized crystal structure of Li2FeCl.

a = 3.112 Å, b = 4.356 Å, c = 4.356 Å
α = 90.23°, β = 90.00°, γ = 90.00°
Site moments in Bohr magnetons follow the coordinates.
Fractional coordinates of all 4 atoms:
Cl: 0.500 0.000 0.000  0.05
Fe: 0.500 0.500 0.500  2.89
Li: 0.000 0.500 0.000  -0.01
Li: 0.000 0.000 0.500  -0.01

D(E_F), states/eV/f.u.: 3.6
Symmetry: Cmmm (65)
Theoretical density, Mg/m³: 3.0

Most stable one: *one*, least stable one: *two*.

*one*
Density functional theory data (PBEsol) for an optimized crystal structure of Mg2FeCl.

a = 3.013 Å, b = 4.761 Å, c = 5.801 Å
α = 114.23°, β = 105.05°, γ = 90.00°
Site moments in Bohr magnetons follow the coordinates.
Fractional coordinates of all 4 atoms:
Cl: 0.554 0.554 0.107  0.06
Fe: 0.233 0.733 0.466  2.42
Mg: 0.955 0.955 0.909  -0.03
Mg: 0.759 0.259 0.518  -0.02

D(E_F), states/eV/f.u.: 2.7
Symmetry: Imm2 (44)
Theoretical density, Mg/m³: 3.2

*two*
Density functional theory data (PBEsol) for an optimized crystal structure of Mg2FeCl.

a = 2.991 Å, b = 3.105 Å, c = 7.686 Å
α = 89.97°, β = 90.00°, γ = 90.00°
Site moments in Bohr magnetons follow the coordinates.
Fractional coordinates of all 4 atoms:
Cl: 0.500 0.000 0.500  -0.01
Fe: 0.500 0.500 0.000  2.33
Mg: 0.000 0.000 0.775  -0.03
Mg: 0.000 0.000 0.225  -0.03

D(E_F), states/eV/f.u.: 2.0
Symmetry: Pmmm (47)
Theoretical density, Mg/m³: 3.3

Most stable one: *two*, least stable one: *one*.

*one*
Density functional theory data (PBEsol) for an optimized crystal structure of Mn2FeCl.

a = 2.675 Å, b = 4.091 Å, c = 4.091 Å
α = 90.00°, β = 90.00°, γ = 90.00°
Site moments in Bohr magnetons follow the coordinates.
Fractional coordinates of all 4 atoms:
Mn: 0.000 0.000 0.500  1.04
Mn: 0.000 0.500 0.000  1.04
Fe: 0.500 0.000 0.000  1.86
Cl: 0.500 0.500 0.500  0.03

D(E_F), states/eV/f.u.: 6.2
Symmetry: P4/mmm (123)
Theoretical density, Mg/m³: 7.5

*two*
Density functional theory data (PBEsol) for an optimized crystal structure of Mn2FeCl.

a = 2.700 Å, b = 2.700 Å, c = 6.546 Å
α = 90.00°, β = 90.00°, γ = 90.00°
Site moments in Bohr magnetons follow the coordinates.
Fractional coordinates of all 4 atoms:
Mn: 0.000 0.000 0.997  -1.48
Mn: 0.500 0.500 0.244  2.36
Fe: 0.500 0.500 0.760  2.15
Cl: 0.000 0.000 0.499  0.10

D(E_F), states/eV/f.u.: 3.3
Symmetry: P4mm (99)
Theoretical density, Mg/m³: 7.0

*three*
Density functional theory data (PBEsol) for an optimized crystal structure of Mn2FeCl.

a = 2.670 Å, b = 2.670 Å, c = 6.523 Å
α = 90.00°, β = 90.00°, γ = 90.00°
Site moments in Bohr magnetons follow the coordinates.
Fractional coordinates of all 4 atoms:
Mn: 0.000 0.000 0.743  2.04
Mn: 0.000 0.000 0.257  2.04
Fe: 0.500 0.500 0.500  -1.06
Cl: 0.500 0.500 0.000  0.06

D(E_F), states/eV/f.u.: 4.3
Symmetry: P4/mmm (123)
Theoretical density, Mg/m³: 7.2

Most stable one: *two*, least stable one: *one*.

*one*
Density functional theory data (PBEsol) for an optimized crystal structure of FeNi2Cl.

a = 2.810 Å, b = 3.066 Å, c = 6.244 Å
α = 89.85°, β = 90.00°, γ = 90.00°
Site moments in Bohr magnetons follow the coordinates.
Fractional coordinates of all 4 atoms:
Cl: 0.000 0.510 0.501  0.06
Fe: 0.500 0.498 0.805  2.83
Ni: 0.000 0.997 0.994  0.77
Ni: 0.500 0.495 0.199  0.36

D(E_F), states/eV/f.u.: 4.7
Symmetry: Pm (6)
Theoretical density, Mg/m³: 6.4

*two*
Density functional theory data (PBEsol) for an optimized crystal structure of FeNi2Cl.

a = 3.608 Å, b = 3.608 Å, c = 4.521 Å
α = 113.51°, β = 113.51°, γ = 90.00°
Site moments in Bohr magnetons follow the coordinates.
Fractional coordinates of all 4 atoms:
Cl: 0.500 0.500 0.000  0.10
Fe: 0.000 0.000 0.000  2.98
Ni: 0.750 0.250 0.500  0.66
Ni: 0.250 0.750 0.500  0.66

D(E_F), states/eV/f.u.: 4.3
Symmetry: I4/mmm (139)
Theoretical density, Mg/m³: 7.1

*three*
Density functional theory data (PBEsol) for an optimized crystal structure of FeNi2Cl.

a = 2.962 Å, b = 2.962 Å, c = 5.774 Å
α = 90.00°, β = 90.00°, γ = 90.00°
Site moments in Bohr magnetons follow the coordinates.
Fractional coordinates of all 4 atoms:
Cl: 0.500 0.500 0.000  0.08
Fe: 0.500 0.500 0.500  3.03
Ni: 0.000 0.000 0.714  0.76
Ni: 0.000 0.000 0.286  0.76

D(E_F), states/eV/f.u.: 1.9
Symmetry: P4/mmm (123)
Theoretical density, Mg/m³: 6.8

Most stable one: *one*, least stable one: *two*.

*one*
Density functional theory data (PBEsol) for an optimized crystal structure of FeOs2Cl.

a = 2.827 Å, b = 2.826 Å, c = 6.885 Å
α = 90.00°, β = 90.00°, γ = 90.00°
Site moments in Bohr magnetons follow the coordinates.
Fractional coordinates of all 4 atoms:
Cl: 0.500 0.500 0.000  -0.02
Fe: 0.500 0.500 0.500  1.84
Os: 0.000 0.000 0.716  0.12
Os: 0.000 0.000 0.284  0.12

D(E_F), states/eV/f.u.: 3.9
Symmetry: P4/mmm (123)
Theoretical density, Mg/m³: 14.2

*two*
Density functional theory data (PBEsol) for an optimized crystal structure of FeOs2Cl.

a = 2.774 Å, b = 4.609 Å, c = 5.139 Å
α = 116.01°, β = 104.68°, γ = 92.12°
Site moments in Bohr magnetons follow the coordinates.
Fractional coordinates of all 4 atoms:
Cl: 0.000 0.500 0.000  0.09
Fe: 0.500 0.000 0.000  2.88
Os: 0.500 0.500 0.500  0.18
Os: 0.000 0.000 0.500  0.18

D(E_F), states/eV/f.u.: 3.9
Symmetry: C2/m (12)
Theoretical density, Mg/m³: 13.9

*three*
Density functional theory data (PBEsol) for an optimized crystal structure of FeOs2Cl.

a = 2.784 Å, b = 4.350 Å, c = 5.082 Å
α = 115.34°, β = 105.90°, γ = 90.00°
Site moments in Bohr magnetons follow the coordinates.
Fractional coordinates of all 4 atoms:
Cl: 0.502 0.502 0.003  0.03
Fe: 0.229 0.729 0.458  2.34
Os: 0.006 0.006 0.012  0.10
Os: 0.763 0.263 0.527  0.08

D(E_F), states/eV/f.u.: 4.0
Symmetry: Imm2 (44)
Theoretical density, Mg/m³: 14.8

Most stable one: *one*, least stable one: *two*.

*one*
Density functional theory data (PBEsol) for an optimized crystal structure of FeOs2Cl.

a = 2.757 Å, b = 2.757 Å, c = 8.360 Å
α = 80.51°, β = 80.51°, γ = 60.00°
Site moments in Bohr magnetons follow the coordinates.
Fractional coordinates of all 4 atoms:
Cl: 0.500 0.500 0.500  -0.04
Fe: 0.000 0.000 0.000  1.88
Os: 0.254 0.254 0.238  -0.05
Os: 0.746 0.746 0.762  -0.05

D(E_F), states/eV/f.u.: 4.4
Symmetry: R-3m (166)
Theoretical density, Mg/m³: 14.5

*two*
Density functional theory data (PBEsol) for an optimized crystal structure of FeOs2Cl.

a = 4.282 Å, b = 4.282 Å, c = 4.282 Å
α = 60.00°, β = 60.00°, γ = 60.00°
Site moments in Bohr magnetons follow the coordinates.
Fractional coordinates of all 4 atoms:
Cl: 0.500 0.500 0.500  0.02
Fe: 0.250 0.250 0.250  2.50
Os: 0.000 0.000 0.000  -0.01
Os: 0.750 0.750 0.750  -0.05

D(E_F), states/eV/f.u.: 3.6
Symmetry: F-43m (216)
Theoretical density, Mg/m³: 14.1

Most stable one: *one*, least stable one: *two*.

*one*
Density functional theory data (PBEsol) for an optimized crystal structure of FeOsCl2.

a = 4.374 Å, b = 4.374 Å, c = 4.374 Å
α = 60.00°, β = 60.00°, γ = 60.00°
Site moments in Bohr magnetons follow the coordinates.
Fractional coordinates of all 4 atoms:
Os: 0.750 0.750 0.750  -0.41
Fe: 0.500 0.500 0.500  2.45
Cl: 0.000 0.000 0.000  -0.08
Cl: 0.250 0.250 0.250  -0.03

D(E_F), states/eV/f.u.: 4.8
Symmetry: F-43m (216)
Theoretical density, Mg/m³: 8.9

*two*
Density functional theory data (PBEsol) for an optimized crystal structure of FeOsCl2.

a = 2.968 Å, b = 4.320 Å, c = 4.320 Å
α = 90.00°, β = 90.00°, γ = 90.00°
Site moments in Bohr magnetons follow the coordinates.
Fractional coordinates of all 4 atoms:
Os: 0.500 0.000 0.000  0.27
Fe: 0.500 0.500 0.500  2.95
Cl: 0.000 0.000 0.500  0.09
Cl: 0.000 0.500 0.000  0.09

D(E_F), states/eV/f.u.: 3.9
Symmetry: P4/mmm (123)
Theoretical density, Mg/m³: 9.5

*three*
Density functional theory data (PBEsol) for an optimized crystal structure of FeOsCl2.

a = 2.800 Å, b = 2.986 Å, c = 7.990 Å
α = 90.00°, β = 90.00°, γ = 117.96°
Site moments in Bohr magnetons follow the coordinates.
Fractional coordinates of all 4 atoms:
Os: 0.500 0.000 0.000  -0.38
Fe: 0.500 0.000 0.500  2.70
Cl: 0.000 0.000 0.740  0.03
Cl: 0.000 0.000 0.260  0.03

D(E_F), states/eV/f.u.: 3.7
Symmetry: Cmmm (65)
Theoretical density, Mg/m³: 8.9

Most stable one: *three*, least stable one: *one*.

*one*
Density functional theory data (PBEsol) for an optimized crystal structure of Fe2OsCl.

a = 3.586 Å, b = 3.586 Å, c = 4.906 Å
α = 111.44°, β = 111.44°, γ = 90.00°
Site moments in Bohr magnetons follow the coordinates.
Fractional coordinates of all 4 atoms:
Cl: 0.250 0.750 0.500  0.13
Fe: 0.000 0.000 0.000  2.78
Fe: 0.750 0.250 0.500  2.83
Os: 0.500 0.500 0.000  0.68

D(E_F), states/eV/f.u.: 6.0
Symmetry: I-4m2 (119)
Theoretical density, Mg/m³: 10.4

*two*
Density functional theory data (PBEsol) for an optimized crystal structure of Fe2OsCl.

a = 2.753 Å, b = 2.753 Å, c = 7.942 Å
α = 80.02°, β = 80.02°, γ = 60.00°
Site moments in Bohr magnetons follow the coordinates.
Fractional coordinates of all 4 atoms:
Cl: 0.000 0.000 0.000  0.14
Fe: 0.253 0.253 0.241  2.27
Fe: 0.747 0.747 0.759  2.27
Os: 0.500 0.500 0.500  -0.19

D(E_F), states/eV/f.u.: 3.8
Symmetry: R-3m (166)
Theoretical density, Mg/m³: 11.0

Most stable one: *two*, least stable one: *one*.

*one*
Density functional theory data (PBEsol) for an optimized crystal structure of FeP2Cl.

a = 3.302 Å, b = 3.302 Å, c = 6.463 Å
α = 104.80°, β = 104.80°, γ = 90.00°
Site moments in Bohr magnetons follow the coordinates.
Fractional coordinates of all 4 atoms:
Cl: 0.500 0.500 0.000  0.12
Fe: 0.000 0.000 0.000  3.12
P: 0.750 0.250 0.500  0.05
P: 0.250 0.750 0.500  0.05

D(E_F), states/eV/f.u.: 4.1
Symmetry: I4/mmm (139)
Theoretical density, Mg/m³: 3.9

*two*
Density functional theory data (PBEsol) for an optimized crystal structure of FeP2Cl.

a = 3.308 Å, b = 3.308 Å, c = 6.044 Å
α = 90.00°, β = 90.00°, γ = 90.00°
Site moments in Bohr magnetons follow the coordinates.
Fractional coordinates of all 4 atoms:
Cl: 0.500 0.500 0.500  0.11
Fe: 0.000 0.000 0.500  3.12
P: 0.000 0.500 0.000  0.04
P: 0.500 0.000 0.000  0.04

D(E_F), states/eV/f.u.: 4.6
Symmetry: P4/mmm (123)
Theoretical density, Mg/m³: 3.8

Most stable one: *one*, least stable one: *two*.

*one*
Density functional theory data (PBEsol) for an optimized crystal structure of FeP2Cl.

a = 3.252 Å, b = 3.252 Å, c = 6.805 Å
α = 76.17°, β = 76.17°, γ = 60.00°
Fractional coordinates of all 4 atoms:
Cl: 0.500 0.500 0.500
Fe: 0.000 0.000 0.000
P: 0.273 0.273 0.180
P: 0.727 0.727 0.820

D(E_F), states/eV/f.u.: 2.7
Symmetry: R-3m (166)
Theoretical density, Mg/m³: 4.2

*two*
Density functional theory data (PBEsol) for an optimized crystal structure of FeP2Cl.

a = 3.044 Å, b = 3.044 Å, c = 6.672 Å
α = 90.00°, β = 90.00°, γ = 90.00°
Site moments in Bohr magnetons follow the coordinates.
Fractional coordinates of all 4 atoms:
Cl: 0.000 0.000 0.561  0.11
Fe: 0.500 0.500 0.797  2.58
P: 0.000 0.000 0.993  -0.03
P: 0.500 0.500 0.149  -0.01

D(E_F), states/eV/f.u.: 2.4
Symmetry: P4mm (99)
Theoretical density, Mg/m³: 4.1

Most stable one: *one*, least stable one: *two*.